[1]
Entry from Alexandria: a relaxed ZrBePd crystal (PBE-GGA).

Results
space group: C2/m
total moment: 0.000 μB per cell
formation energy from the elements: -0.50 eV/atom
uncorrected energy: -75.9 eV for the cell shown

```
ZrBePd
1.0
6.7182 0.0000 0.0008
0.0000 3.5772 0.0000
-5.8236 0.0000 7.6477
Be Zr Pd
4 4 4
Direct
0.8252 0.0000 0.8646
0.1748 0.0000 0.1354
0.8252 0.5000 0.3646
0.1748 0.5000 0.6354
0.8100 0.0000 0.5727
0.1900 0.0000 0.4273
0.8100 0.5000 0.0727
0.1900 0.5000 0.9273
0.5927 0.0000 0.1826
0.4073 0.0000 0.8174
0.5927 0.5000 0.6826
0.4073 0.5000 0.3174
```

---

[2]
Entry from Alexandria: a relaxed YTe2Se crystal (PBE-GGA).

Results
space group: R-3m
total moment: 0.697 μB per cell
formation energy from raw total energies: -0.60 eV/atom
uncorrected energy: -18.7 eV for the cell shown

```
YTe2Se
1.0
-7.4456 5.3383 1.7486
-4.3373 7.0688 4.2675
-4.5656 8.1329 0.0464
Y Te Se
1 2 1
Direct
0.5000 0.5000 0.5000
0.8990 0.8990 0.8990
0.1010 0.1010 0.1010
0.0000 0.0000 0.0000
```

---

[3]
Entry from Alexandria: a relaxed NaTaCd crystal (PBE-GGA).

Results
space group: Cm
total moment: 0.000 μB per cell
formation energy from the elements: 0.39 eV/atom
uncorrected energy: -25.9 eV for the cell shown

```
NaTaCd
1.0
-0.1428 -16.9571 -4.2875
2.6773 -7.7155 -0.8952
-2.1725 6.9982 3.7153
Na Cd Ta
2 2 2
Direct
0.5240 0.2582 0.7418
0.0332 0.2505 0.7495
0.7949 0.1543 0.8457
0.8773 0.7393 0.2607
0.2927 0.1736 0.8264
0.3793 0.7199 0.2801
```

---

[4]
Entry from Alexandria: a relaxed In12Bi5I3 crystal (PBE-GGA).

Results
space group: Ia-3d
total moment: 0.000 μB per cell
formation energy from raw total energies: 0.12 eV/atom
uncorrected energy: -218.0 eV for the cell shown

```
In12Bi5I3
1.0
-14.6434 -3.0205 -6.2190
-0.7596 -0.6559 16.1623
4.8726 14.7480 -4.5807
I Bi In
12 20 48
Direct
0.7500 0.3750 0.1250
0.8750 0.7500 0.1250
0.3750 0.7500 0.6250
0.2500 0.1250 0.3750
0.8750 0.1250 0.2500
0.3750 0.6250 0.2500
0.6250 0.3750 0.7500
0.1250 0.8750 0.7500
0.7500 0.8750 0.6250
0.6250 0.2500 0.3750
0.1250 0.2500 0.8750
0.2500 0.6250 0.8750
0.1250 0.3750 0.2500
0.0000 0.5000 0.0000
0.0000 0.0000 0.0000
0.3750 0.2500 0.1250
0.5000 0.0000 0.5000
0.5000 0.5000 0.0000
0.1250 0.7500 0.3750
0.7500 0.1250 0.8750
0.7500 0.6250 0.3750
0.3750 0.1250 0.7500
0.6250 0.8750 0.2500
0.5000 0.5000 0.5000
0.5000 0.0000 0.0000
0.0000 0.0000 0.5000
0.2500 0.3750 0.6250
0.2500 0.8750 0.1250
0.0000 0.5000 0.5000
0.8750 0.2500 0.6250
0.6250 0.7500 0.8750
0.8750 0.6250 0.7500
0.7261 0.1496 0.0616
0.3355 0.5616 0.4120
0.9384 0.3504 0.2739
0.5616 0.2261 0.1496
0.5765 0.7261 0.6645
0.9384 0.5880 0.1645
0.3355 0.7739 0.4235
0.0880 0.9235 0.1496
0.5880 0.9384 0.6645
0.7261 0.5765 0.1645
0.7739 0.4384 0.3504
0.8355 0.9120 0.0616
0.1496 0.7261 0.5616
0.3504 0.4120 0.0765
0.0765 0.9120 0.3504
0.4235 0.1496 0.5880
0.0765 0.1645 0.2261
0.4384 0.6645 0.0880
0.8355 0.9235 0.2739
0.1496 0.4235 0.0880
0.3504 0.9384 0.7739
0.5880 0.6496 0.4235
0.9120 0.8355 0.5616
0.7739 0.3355 0.9235
0.4120 0.3504 0.5765
0.0880 0.1645 0.4384
0.2261 0.6645 0.0765
0.1645 0.0765 0.7261
0.6496 0.0616 0.2261
0.8504 0.5765 0.9120
0.5616 0.3355 0.9120
0.5765 0.8504 0.4120
0.9235 0.8355 0.7739
0.9235 0.0880 0.6496
0.8504 0.2739 0.4384
0.1645 0.0880 0.9384
0.6496 0.5880 0.9235
0.4120 0.0616 0.3355
0.2739 0.4235 0.8355
0.2261 0.5616 0.6496
0.9120 0.0765 0.8504
0.6645 0.2261 0.5765
0.4384 0.7739 0.8504
0.0616 0.4120 0.8355
0.4235 0.2739 0.3355
0.0616 0.6496 0.7261
0.6645 0.4384 0.5880
0.2739 0.8504 0.9384
```